1:
The following is a PBE calculation of a geometry-optimized Sr2LiTb structure, from the Alexandria database.

```
data_Sr2LiTb
_space_group_name_H-M_alt 'P 4/m m m'
_space_group_IT_number 123
_space_group_name_Hall '-P 4 2'
_cell_length_a 4.245
_cell_length_b 4.245
_cell_length_c 8.690
_cell_angle_alpha 90.00
_cell_angle_beta 90.00
_cell_angle_gamma 90.00
loop_
_atom_site_label
_atom_site_type_symbol
_atom_site_fract_x
_atom_site_fract_y
_atom_site_fract_z
_atom_site_occupancy
Sr1 Sr 0.000 0.000 0.236 1
Li1 Li 0.500 0.500 0.000 1
Tb1 Tb 0.500 0.500 0.500 1
```

2:
The following is a PBE calculation of a geometry-optimized Sr2LiTb structure, from the Alexandria database.

```
data_Sr2LiTb
_space_group_name_H-M_alt 'R -3 m'
_space_group_IT_number 166
_space_group_name_Hall '-R 3 2"'
_cell_length_a 3.7731
_cell_length_b 3.7731
_cell_length_c 38.9228
_cell_angle_alpha 90.00
_cell_angle_beta 90.00
_cell_angle_gamma 120.00
loop_
_atom_site_label
_atom_site_type_symbol
_atom_site_fract_x
_atom_site_fract_y
_atom_site_fract_z
_atom_site_occupancy
Sr1 Sr 0.0000 0.0000 0.0911 1
Li1 Li 0.0000 0.0000 0.5000 1
Tb1 Tb 0.0000 0.0000 0.0000 1
```

Bottom line: 1, by a margin of 0.191 eV/atom.

1:
The following is a PBE calculation of a geometry-optimized Sr2LiTe2 structure, from the Alexandria database.

```
data_Sr2LiTe2
_space_group_name_H-M_alt 'P 4/m b m'
_space_group_IT_number 127
_space_group_name_Hall '-P 4 2ab'
_cell_length_a 8.672
_cell_length_b 8.672
_cell_length_c 4.450
_cell_angle_alpha 90.00
_cell_angle_beta 90.00
_cell_angle_gamma 90.00
loop_
_atom_site_label
_atom_site_type_symbol
_atom_site_fract_x
_atom_site_fract_y
_atom_site_fract_z
_atom_site_occupancy
Sr1 Sr 0.152 0.348 0.000 1
Li1 Li 0.000 0.000 0.500 1
Te1 Te 0.158 0.658 0.500 1
```

2:
The following is a PBE calculation of a geometry-optimized Sr2LiTe2 structure, from the Alexandria database.

```
data_Sr2LiTe2
_space_group_name_H-M_alt 'P 4/m b m'
_space_group_IT_number 127
_space_group_name_Hall '-P 4 2ab'
_cell_length_a 9.106
_cell_length_b 9.106
_cell_length_c 4.220
_cell_angle_alpha 90.00
_cell_angle_beta 90.00
_cell_angle_gamma 90.00
loop_
_atom_site_label
_atom_site_type_symbol
_atom_site_fract_x
_atom_site_fract_y
_atom_site_fract_z
_atom_site_occupancy
Sr1 Sr 0.145 0.355 0.000 1
Li1 Li 0.000 0.000 0.000 1
Te1 Te 0.158 0.658 0.500 1
```

Bottom line: 1, by a margin of 0.201 eV/atom.

1:
The following is a PBE calculation of a geometry-optimized Sr2LiTi structure, from the Alexandria database.

```
data_Sr2LiTi
_space_group_name_H-M_alt 'F m -3 m'
_space_group_IT_number 225
_space_group_name_Hall '-F 4 2 3'
_cell_length_a 8.273
_cell_length_b 8.273
_cell_length_c 8.273
_cell_angle_alpha 90.00
_cell_angle_beta 90.00
_cell_angle_gamma 90.00
loop_
_atom_site_label
_atom_site_type_symbol
_atom_site_fract_x
_atom_site_fract_y
_atom_site_fract_z
_atom_site_occupancy
Sr1 Sr 0.250 0.250 0.250 1
Li1 Li 0.000 0.000 0.000 1
Ti1 Ti 0.000 0.000 0.500 1
```

2:
The following is a PBE calculation of a geometry-optimized Sr2LiTi structure, from the Alexandria database.

```
data_Sr2LiTi
_space_group_name_H-M_alt 'I -4 2 d'
_space_group_IT_number 122
_space_group_name_Hall 'I -4 2bw'
_cell_length_a 8.910
_cell_length_b 8.910
_cell_length_c 7.081
_cell_angle_alpha 90.00
_cell_angle_beta 90.00
_cell_angle_gamma 90.00
loop_
_atom_site_label
_atom_site_type_symbol
_atom_site_fract_x
_atom_site_fract_y
_atom_site_fract_z
_atom_site_occupancy
Sr1 Sr 0.228 0.250 0.125 1
Li1 Li 0.000 0.000 0.000 1
Ti1 Ti 0.000 0.000 0.500 1
```

Bottom line: 1, by a margin of 0.176 eV/atom.